(1)
# Gd2RhO

A relaxed Gd2RhO crystal (PBE, Alexandria via LeMat-Bulk).

## Properties
The formation energy from raw total energies is -1.61 eV per atom. Its mass density is 9.44 g cm⁻³. Its uncorrected energy is -140.76 eV for the cell shown.

```
data_Gd2RhO
_symmetry_space_group_name_H-M 'R -3 m'
_symmetry_Int_Tables_number 166
_symmetry_space_group_name_Hall '-R 3 2"'
_cell_length_a 3.5866
_cell_length_b 3.5866
_cell_length_c 20.5262
_cell_angle_alpha 90.00
_cell_angle_beta 90.00
_cell_angle_gamma 120.00
loop_
_atom_site_label
_atom_site_fract_x
_atom_site_fract_y
_atom_site_fract_z
_atom_site_occupancy
Gd1 0.0000 0.0000 0.2392 1
Rh1 0.0000 0.0000 0.0000 1
O1 0.0000 0.0000 0.5000 1
```

=====

(2)
# BaSi2PdPt

A relaxed BaSi2PdPt crystal (PBE, Alexandria via LeMat-Bulk).

## Properties
The formation energy from raw total energies is -0.73 eV per atom. Its mass density is 7.60 g cm⁻³. Its uncorrected energy is -55.28 eV for the cell shown.

```
data_BaSi2PdPt
_symmetry_space_group_name_H-M 'I -4 m 2'
_symmetry_Int_Tables_number 119
_symmetry_space_group_name_Hall 'I -4 -2'
_cell_length_a 4.3428
_cell_length_b 4.3428
_cell_length_c 11.4722
_cell_angle_alpha 90.00
_cell_angle_beta 90.00
_cell_angle_gamma 90.00
loop_
_atom_site_label
_atom_site_fract_x
_atom_site_fract_y
_atom_site_fract_z
_atom_site_occupancy
Ba1 0.0000 0.0000 0.0000 1
Si1 0.0000 0.0000 0.3493 1
Pd1 0.0000 0.5000 0.2500 1
Pt1 0.0000 0.5000 0.7500 1
```

=====

(3)
# PaMnCo2N4

A relaxed PaMnCo2N4 crystal (PBE, Alexandria via LeMat-Bulk).

## Properties
The formation energy from raw total energies is -0.56 eV per atom. Its mass density is 9.04 g cm⁻³. Its uncorrected energy is -141.37 eV for the cell shown.

```
data_PaMnCo2N4
_symmetry_space_group_name_H-M 'I -4 2 m'
_symmetry_Int_Tables_number 121
_symmetry_space_group_name_Hall 'I -4 2'
_cell_length_a 5.1402
_cell_length_b 5.1402
_cell_length_c 6.3935
_cell_angle_alpha 90.00
_cell_angle_beta 90.00
_cell_angle_gamma 90.00
loop_
_atom_site_label
_atom_site_fract_x
_atom_site_fract_y
_atom_site_fract_z
_atom_site_occupancy
Pa1 0.0000 0.0000 0.0000 1
Mn1 0.0000 0.0000 0.5000 1
Co1 0.0000 0.5000 0.2500 1
N1 0.1933 0.1933 0.3121 1
```

=====

(4)
# SmAlSn3

A relaxed SmAlSn3 crystal (PBE, Alexandria via LeMat-Bulk).

## Properties
Its mass density is 6.95 g cm⁻³. Its uncorrected energy is -88.37 eV for the cell shown. The energy relative to the elements is -1.62 eV/f.u.

```
data_SmAlSn3
_symmetry_space_group_name_H-M 'P b c m'
_symmetry_Int_Tables_number 57
_symmetry_space_group_name_Hall '-P 2c 2b'
_cell_length_a 12.6361
_cell_length_b 6.2900
_cell_length_c 6.4123
_cell_angle_alpha 90.00
_cell_angle_beta 90.00
_cell_angle_gamma 90.00
loop_
_atom_site_label
_atom_site_fract_x
_atom_site_fract_y
_atom_site_fract_z
_atom_site_occupancy
Sm1 0.1960 0.0102 0.2500 1
Al1 0.3840 0.2500 0.0000 1
Sn1 0.0000 0.2500 0.0000 1
Sn2 0.2435 0.5165 0.2500 1
Sn3 0.4360 0.6495 0.7500 1
```